Material: ScCo3Si7
Method: DFT, PBE
State: relaxed

Final energy = -6.50 eV/atom
Calculated volume = 286.15 Å³ per cell
Magnetic moment = 0.000 μB per atom

Cell lengths 7.2420, 7.2420, 7.5613 Å; angles 61.39, 61.39, 60.00 degrees
Positions (direct):
Sc  0.5000  0.5000  0.5000
Sc  0.0000  0.0000  0.0000
Co  0.4278  0.0722  0.7500
Co  0.0722  0.7500  0.7500
Co  0.7500  0.4278  0.7500
Co  0.5722  0.9278  0.2500
Co  0.9278  0.2500  0.2500
Co  0.2500  0.5722  0.2500
Si  0.6649  0.0750  0.4097
Si  0.0750  0.8504  0.4097
Si  0.8504  0.6649  0.4097
Si  0.8351  0.6496  0.0903
Si  0.4250  0.8351  0.0903
Si  0.6496  0.4250  0.0903
Si  0.3351  0.9250  0.5903
Si  0.9250  0.1496  0.5903
Si  0.1496  0.3351  0.5903
Si  0.1649  0.3504  0.9097
Si  0.5750  0.1649  0.9097
Si  0.3504  0.5750  0.9097
Si  0.7500  0.7500  0.7500
Si  0.2500  0.2500  0.2500